[1]
Crystalline K2ZnCd3F12 at its relaxed geometry. Source: Alexandria via LeMat-Bulk, functional GGA-PBE.

Cell lengths 7.7863, 7.7863, 7.7863 Å; angles 59.76, 59.76, 59.76 degrees
Fractional positions:
K 0.6122 0.6122 0.6122
K 0.3878 0.3878 0.3878
Zn 0.0000 0.0000 0.0000
Cd 0.5000 0.0000 0.0000
Cd 0.0000 0.5000 0.0000
Cd 0.0000 0.0000 0.5000
F 0.3458 0.3458 0.9166
F 0.9345 0.9345 0.3010
F 0.3010 0.9345 0.9345
F 0.9166 0.3458 0.3458
F 0.9345 0.3010 0.9345
F 0.3458 0.9166 0.3458
F 0.6542 0.6542 0.0834
F 0.0655 0.0655 0.6990
F 0.6990 0.0655 0.0655
F 0.0834 0.6542 0.6542
F 0.0655 0.6990 0.0655
F 0.6542 0.0834 0.6542

Calculated values
SG = No. 166
raw formation energy = -2081 meV/atom
E_tot = -3.67 eV/atom

[2]
Crystalline GaFe2OsRu at its relaxed geometry. Source: Alexandria via LeMat-Bulk, functional GGA-PBE.

Cell lengths 4.2023, 4.4406, 4.2023 Å; angles 90.00, 90.00, 90.00 degrees
Fractional positions:
Ru 0.5000 0.5000 0.5000
Os 0.0000 0.5000 0.0000
Fe 0.0000 0.0000 0.5000
Fe 0.5000 0.0000 0.0000
Ga 0.0000 0.0000 0.0000

Calculated values
energy of formation = 1.77 eV per atom
SG = No. 123
E_tot = -6.32 eV/atom

[3]
Crystalline Ce2Th3Se8 at its relaxed geometry. Source: Alexandria via LeMat-Bulk, functional GGA-PBE.

Cell lengths 7.0987, 8.5097, 8.6107 Å; angles 119.61, 106.21, 90.00 degrees
Fractional positions:
Ce 0.3347 0.2573 0.5146
Ce 0.6653 0.7427 0.4854
Th 0.5000 0.0000 0.0000
Th 0.0000 0.2539 0.0000
Th 0.0000 0.7461 0.0000
Se 0.9117 0.6133 0.2265
Se 0.0883 0.3867 0.7735
Se 0.9199 0.1206 0.2411
Se 0.0801 0.8794 0.7589
Se 0.5836 0.6389 0.7524
Se 0.5836 0.1135 0.7524
Se 0.4164 0.8865 0.2476
Se 0.4164 0.3611 0.2476

Calculated values
energy relative to the lowest polymorph listed for this composition = 44.3 meV/atom
SG = No. 12
raw formation energy = -1647 meV/atom
E_tot = -6.42 eV/atom

- Which formula does entry 3 have?
  Ce2Th3Se8